Compound: BeCrTcRh
Source: Alexandria via LeMat-Bulk
Functional: PBE
Structure: relaxed

Unit cell a=4.106 b=4.106 c=4.106 alpha=60.00 beta=60.00 gamma=60.00
Fractional coordinates of all 4 atoms:
Cr 0.500 0.500 0.500
Rh 0.250 0.250 0.250
Tc 0.750 0.750 0.750
Be 0.000 0.000 0.000

Values from the calculation:
E_form	-0.578	eV/f.u.
total magnetic moment	0.00	μB per formula unit
calculated total energy	-7.9113	eV/atom
space-group type	F-43m (216)
V	48.9	Å³ per cell

Compound: BeCrTcRh2
Source: Alexandria via LeMat-Bulk
Functional: PBE
Structure: relaxed

Unit cell a=4.616 b=4.157 c=4.616 alpha=90.00 beta=90.00 gamma=90.00
Each line ends with the local moment (μB).
Fractional coordinates of all 5 atoms:
Cr 0.500 0.500 0.500  0.09
Rh 0.000 0.000 0.500  0.04
Rh 0.500 0.000 0.000  0.00
Tc 0.000 0.000 0.000  -0.09
Be 0.000 0.500 0.000  0.01

Values from the calculation:
E_form	7.617	eV/f.u.
total magnetic moment	0.12	μB per formula unit
calculated total energy	-6.1603	eV/atom
space-group type	P4/mmm (123)
V	88.6	Å³ per cell

Compound: TiBeCrRh
Source: Alexandria via LeMat-Bulk
Functional: PBE
Structure: relaxed

Unit cell a=4.187 b=4.187 c=4.187 alpha=60.00 beta=60.00 gamma=60.00
Each line ends with the local moment (μB).
Fractional coordinates of all 4 atoms:
Cr 0.750 0.750 0.750  2.81
Rh 0.250 0.250 0.250  0.10
Be 0.500 0.500 0.500  -0.04
Ti 0.000 0.000 0.000  -0.07

Values from the calculation:
E_form	-1.397	eV/f.u.
total magnetic moment	2.98	μB per formula unit
calculated total energy	-7.4982	eV/atom
space-group type	F-43m (216)
V	51.9	Å³ per cell

Compound: BeVCrRh
Source: Alexandria via LeMat-Bulk
Functional: PBE
Structure: relaxed

Unit cell a=4.098 b=4.098 c=4.098 alpha=60.00 beta=60.00 gamma=60.00
Each line ends with the local moment (μB).
Fractional coordinates of all 4 atoms:
Cr 0.500 0.500 0.500  2.19
Rh 0.000 0.000 0.000  0.20
Be 0.250 0.250 0.250  -0.01
V 0.750 0.750 0.750  -0.56

Values from the calculation:
E_form	-0.855	eV/f.u.
total magnetic moment	1.97	μB per formula unit
calculated total energy	-7.6686	eV/atom
space-group type	F-43m (216)
V	48.7	Å³ per cell

Compound: ZrBeCrRh2
Source: Alexandria via LeMat-Bulk
Functional: PBE
Structure: relaxed

Unit cell a=4.193 b=4.188 c=4.193 alpha=90.00 beta=90.00 gamma=90.00
Each line ends with the local moment (μB).
Fractional coordinates of all 5 atoms:
Cr 0.000 0.500 0.000  2.76
Rh 0.000 0.000 0.500  0.18
Rh 0.500 0.000 0.000  0.17
Zr 0.500 0.500 0.500  -0.04
Be 0.000 0.000 0.000  0.01

Values from the calculation:
E_form	-0.898	eV/f.u.
total magnetic moment	3.28	μB per formula unit
calculated total energy	-7.4997	eV/atom
space-group type	P4/mmm (123)
V	73.6	Å³ per cell

Compound: Be2CrRu
Source: Alexandria via LeMat-Bulk
Functional: PBE
Structure: relaxed

Unit cell a=2.831 b=2.831 c=5.364 alpha=90.00 beta=90.00 gamma=90.00
Fractional coordinates of all 4 atoms:
Ru 0.500 0.500 0.752
Be 0.000 0.000 0.024
Be 0.500 0.500 0.226
Cr 0.000 0.000 0.498

Values from the calculation:
E_form	-0.298	eV/f.u.
total magnetic moment	0.00	μB per formula unit
calculated total energy	-6.6623	eV/atom
space-group type	P4mm (99)
V	43.0	Å³ per cell

Compound: BeCr2Ru
Source: Alexandria via LeMat-Bulk
Functional: PBE
Structure: relaxed

Unit cell a=3.819 b=2.594 c=5.062 alpha=67.13 beta=90.00 gamma=90.00
Fractional coordinates of all 4 atoms:
Ru 0.500 0.250 0.250
Be 0.500 0.750 0.750
Cr 0.000 0.998 0.979
Cr 0.000 0.502 0.521

Values from the calculation:
E_form	0.160	eV/f.u.
total magnetic moment	0.00	μB per formula unit
calculated total energy	-8.0221	eV/atom
space-group type	P2/m (10)
V	46.2	Å³ per cell

Compound: BeCr2Ru
Source: Alexandria via LeMat-Bulk
Functional: PBE
Structure: relaxed

Unit cell a=4.799 b=4.799 c=4.799 alpha=144.90 beta=134.12 gamma=59.05
Fractional coordinates of all 4 atoms:
Ru 0.250 0.750 0.500
Be 0.750 0.250 0.500
Cr 0.999 0.999 0.000
Cr 0.501 0.501 0.000

Values from the calculation:
E_form	-0.359	eV/f.u.
total magnetic moment	0.00	μB per formula unit
calculated total energy	-8.1519	eV/atom
space-group type	Immm (71)
V	45.2	Å³ per cell